The following is a PBEsol calculation of an optimized crystal structure of Sc3PdRu, from the Alexandria database.

Fermi-level density of states: 2.978 states/eV/f.u.
Uncorrected energy: -7.1969 eV/atom
Distance to the lowest polymorph of the same formula: 0 meV per atom
Total magnetization: 0.00 μB per cell
Energy of formation: -0.008 eV/atom

The structure in CIF format:
```
data_Sc3PdRu
_space_group_name_H-M_alt 'P 1'
_space_group_IT_number 1
_cell_length_a 4.833
_cell_length_b 4.833
_cell_length_c 4.833
_cell_angle_alpha 90.00
_cell_angle_beta 90.00
_cell_angle_gamma 90.00
loop_
_space_group_symop_operation_xyz
'x,y,z'
loop_
_atom_site_label
_atom_site_fract_x
_atom_site_fract_y
_atom_site_fract_z
Sc1 0.000 0.500 0.000
Sc2 0.000 0.000 0.500
Sc3 0.500 0.000 0.000
Ru1 0.000 0.000 0.000
Pd1 0.500 0.500 0.500
```

***

The following is a PBEsol calculation of an optimized crystal structure of PdRuSe2, from the Alexandria database.

Fermi-level density of states: 3.610 states/eV/f.u.
Uncorrected energy: -5.6444 eV/atom
Total magnetization: 0.00 μB per cell

The structure in CIF format:
```
data_PdRuSe2
_space_group_name_H-M_alt 'P 1'
_space_group_IT_number 1
_cell_length_a 3.008
_cell_length_b 3.008
_cell_length_c 8.752
_cell_angle_alpha 80.10
_cell_angle_beta 80.10
_cell_angle_gamma 60.00
loop_
_space_group_symop_operation_xyz
'x,y,z'
loop_
_atom_site_label
_atom_site_fract_x
_atom_site_fract_y
_atom_site_fract_z
Ru1 0.000 0.000 0.000
Se1 0.910 0.910 0.271
Se2 0.090 0.090 0.729
Pd1 0.500 0.500 0.500
```

***

The following is a PBEsol calculation of an optimized crystal structure of Si2PdRu2, from the Alexandria database.

Fermi-level density of states: 3.044 states/eV/f.u.
Uncorrected energy: -8.1056 eV/atom
Total magnetization: 0.00 μB per cell

The structure in CIF format:
```
data_Si2PdRu2
_space_group_name_H-M_alt 'P 1'
_space_group_IT_number 1
_cell_length_a 2.819
_cell_length_b 6.826
_cell_length_c 6.826
_cell_angle_alpha 90.00
_cell_angle_beta 90.00
_cell_angle_gamma 90.00
loop_
_space_group_symop_operation_xyz
'x,y,z'
loop_
_atom_site_label
_atom_site_fract_x
_atom_site_fract_y
_atom_site_fract_z
Ru1 0.500 0.150 0.650
Ru2 0.500 0.650 0.850
Ru3 0.500 0.850 0.350
Ru4 0.500 0.350 0.150
Si1 0.000 0.353 0.853
Si2 0.000 0.853 0.647
Si3 0.000 0.647 0.147
Si4 0.000 0.147 0.353
Pd1 0.000 0.000 0.000
Pd2 0.000 0.500 0.500
```

***

The following is a PBEsol calculation of an optimized crystal structure of Sm2PdRu, from the Alexandria database.

Fermi-level density of states: 2.324 states/eV/f.u.
Uncorrected energy: -7.0371 eV/atom
Total magnetization: 0.00 μB per cell
Energy of formation: -0.458 eV/atom

The structure in CIF format:
```
data_Sm2PdRu
_space_group_name_H-M_alt 'P 1'
_space_group_IT_number 1
_cell_length_a 4.895
_cell_length_b 4.895
_cell_length_c 4.895
_cell_angle_alpha 60.00
_cell_angle_beta 60.00
_cell_angle_gamma 60.00
loop_
_space_group_symop_operation_xyz
'x,y,z'
loop_
_atom_site_label
_atom_site_fract_x
_atom_site_fract_y
_atom_site_fract_z
Ru1 0.500 0.500 0.500
Sm1 0.750 0.750 0.750
Sm2 0.250 0.250 0.250
Pd1 0.000 0.000 0.000
```

***

The following is a PBEsol calculation of an optimized crystal structure of TlPd3Ru, from the Alexandria database.

Fermi-level density of states: 6.670 states/eV/f.u.
Uncorrected energy: -5.0678 eV/atom
Total magnetization: 0.21 μB per cell
Energy of formation: 1.068 eV/atom

The structure in CIF format:
```
data_TlPd3Ru
_space_group_name_H-M_alt 'P 1'
_space_group_IT_number 1
_cell_length_a 4.737
_cell_length_b 4.737
_cell_length_c 4.737
_cell_angle_alpha 90.00
_cell_angle_beta 90.00
_cell_angle_gamma 90.00
loop_
_space_group_symop_operation_xyz
'x,y,z'
loop_
_atom_site_label
_atom_site_fract_x
_atom_site_fract_y
_atom_site_fract_z
Ru1 0.000 0.000 0.000
Tl1 0.500 0.500 0.500
Pd1 0.000 0.500 0.000
Pd2 0.000 0.000 0.500
Pd3 0.500 0.000 0.000
```

***

The following is a PBEsol calculation of an optimized crystal structure of Tm2PdRu, from the Alexandria database.

Fermi-level density of states: 1.635 states/eV/f.u.
Uncorrected energy: -7.1790 eV/atom
Total magnetization: 0.00 μB per cell
Energy of formation: -0.697 eV/atom

The structure in CIF format:
```
data_Tm2PdRu
_space_group_name_H-M_alt 'P 1'
_space_group_IT_number 1
_cell_length_a 4.731
_cell_length_b 4.731
_cell_length_c 4.731
_cell_angle_alpha 60.00
_cell_angle_beta 60.00
_cell_angle_gamma 60.00
loop_
_space_group_symop_operation_xyz
'x,y,z'
loop_
_atom_site_label
_atom_site_fract_x
_atom_site_fract_y
_atom_site_fract_z
Ru1 0.500 0.500 0.500
Tm1 0.750 0.750 0.750
Tm2 0.250 0.250 0.250
Pd1 0.000 0.000 0.000
```

***

The following is a PBEsol calculation of an optimized crystal structure of Pd2RuW, from the Alexandria database.

Fermi-level density of states: 5.204 states/eV/f.u.
Uncorrected energy: -8.5348 eV/atom
Total magnetization: 0.00 μB per cell
Energy of formation: 0.440 eV/atom

The structure in CIF format:
```
data_Pd2RuW
_space_group_name_H-M_alt 'P 1'
_space_group_IT_number 1
_cell_length_a 4.354
_cell_length_b 4.354
_cell_length_c 4.354
_cell_angle_alpha 60.00
_cell_angle_beta 60.00
_cell_angle_gamma 60.00
loop_
_space_group_symop_operation_xyz
'x,y,z'
loop_
_atom_site_label
_atom_site_fract_x
_atom_site_fract_y
_atom_site_fract_z
Ru1 0.000 0.000 0.000
Pd1 0.250 0.250 0.250
Pd2 0.750 0.750 0.750
W1 0.500 0.500 0.500
```

***

The following is a PBEsol calculation of an optimized crystal structure of Y2PdRu, from the Alexandria database.

Fermi-level density of states: 1.933 states/eV/f.u.
Uncorrected energy: -8.0311 eV/atom
Total magnetization: 0.00 μB per cell
Energy of formation: -0.587 eV/atom

The structure in CIF format:
```
data_Y2PdRu
_space_group_name_H-M_alt 'P 1'
_space_group_IT_number 1
_cell_length_a 4.807
_cell_length_b 4.807
_cell_length_c 4.807
_cell_angle_alpha 60.00
_cell_angle_beta 60.00
_cell_angle_gamma 60.00
loop_
_space_group_symop_operation_xyz
'x,y,z'
loop_
_atom_site_label
_atom_site_fract_x
_atom_site_fract_y
_atom_site_fract_z
Y1 0.250 0.250 0.250
Y2 0.750 0.750 0.750
Ru1 0.000 0.000 0.000
Pd1 0.500 0.500 0.500
```